Entry from Alexandria via LeMat-Bulk: a geometry-optimized GePd3Br structure (GGA-PBE).

Output
* E_form (uncorrected): 0.20 eV/atom
* spin magnetization: 0.000 μB/cell

Cell: 4.724 4.724 4.724 Å, 90.00 90.00 90.00°
Space group Pm-3m (No. 221)
One atom of each set of equivalent atoms:
Ge (0.000, 0.000, 0.000)
Pd (0.000, 0.000, 0.500)
Br (0.500, 0.500, 0.500)



Entry from Alexandria via LeMat-Bulk: a geometry-optimized Cs2PuBr4F2 structure (GGA-PBE).

Output
* E_form (uncorrected): -2.15 eV/atom
* spin magnetization: 8.000 μB/cell

Cell: 12.665 8.193 6.278 Å, 90.00 102.28 90.00°
Space group C2/m (No. 12)
One atom of each set of equivalent atoms:
Cs (0.171, 0.000, 0.328)
Pu (0.000, 0.500, 0.000)
Br (0.098, 0.251, 0.802)
F (0.133, 0.500, 0.261)



- Number 2 is which compound?
  Cs2PuBr4F2